1.
Li2FeMo: optimized geometry, GGA-PBEsol.

abc: 5.147 5.147 5.147
angles: 142.26 142.26 54.44
Element x y z (fractional)
Li (0.250, 0.750, 0.500)
Li (0.750, 0.250, 0.500)
Fe (0.000, 0.000, 0.000)
Mo (0.500, 0.500, 0.000)

Distance to the lowest polymorph of the same formula, meV per atom: 34
Energy of formation, eV per formula unit: 1.57
V, Å³/cell: 50.7

***

2.
TaSbTe2: optimized geometry, GGA-PBEsol.

abc: 4.936 5.676 5.676
angles: 36.93 90.00 90.00
Element x y z (fractional)
Ta (0.000, 0.000, 0.000)
Sb (0.500, 0.587, 0.587)
Te (0.000, 0.275, 0.275)
Te (0.500, 0.868, 0.868)

Formation energy without anion corrections, eV/atom: 0.252
V, Å³/cell: 95.6

***

Question: What is the formula in the first record?
Answer: Li2FeMo